Computed, not measured: crystalline K3SmF6 at its relaxed geometry at the GGA-PBEsol level of DFT.

```
data_K3SmF6
_chemical_formula_sum 'K12 Sm4 F24'
_space_group_name_H-M_alt 'F m -3 m'
_space_group_IT_number 225
_space_group_name_Hall '-F 4 2 3'
_cell_length_a 9.362
_cell_length_b 9.362
_cell_length_c 9.362
_cell_angle_alpha 90.00
_cell_angle_beta 90.00
_cell_angle_gamma 90.00
loop_
_atom_site_label
_atom_site_fract_x
_atom_site_fract_y
_atom_site_fract_z
K1 0.000 0.000 0.000
K2 0.250 0.250 0.250
Sm1 0.000 0.000 0.500
F1 0.000 0.000 0.264
```

Results
Uncorrected formation energy in eV/atom: -3.22
Total moment in μB/atom: 0.017